Version A
# Tb2Er2Al

A relaxed structure of Tb2Er2Al (PBE, Alexandria via LeMat-Bulk).

Calculated values
DOS(E_F)	1.40	states/eV/atom

Cell: 3.6835 6.4613 6.5351 Å, 86.91 73.63 73.44°
Closest atoms and distances in Å follow each position.
Positions (direct):
Er 0.4135 0.3494 0.8236  2 Al 3.07, 2 Er 3.40
Er 0.5865 0.6506 0.1764  2 Al 3.07, 2 Er 3.40
Al 0.0000 0.0000 0.0000  4 Er 3.07, 4 Tb 3.13
Tb 0.7774 0.8050 0.6401  2 Al 3.13
Tb 0.2226 0.1950 0.3599  2 Al 3.13

---

Version B
# Tb2Er2Al

A relaxed structure of Tb2Er2Al (PBE, Alexandria via LeMat-Bulk).

Calculated values
DOS(E_F)	1.10	states/eV/atom

Cell: 4.2230 4.2230 9.1664 Å, 103.32 103.32 90.00°
Closest atoms and distances in Å follow each position.
Positions (direct):
Al 0.0000 0.0000 0.0000  8 Er 3.35
Tb 0.2500 0.7500 0.5000  4 Tb 2.99
Tb 0.7500 0.2500 0.5000  4 Tb 2.99
Er 0.4125 0.4125 0.8250  1 Er 3.03, 4 Al 3.35
Er 0.5875 0.5875 0.1750  1 Er 3.03, 4 Al 3.35

---

version A wins, 0.560 eV/atom ahead of the next structure.